Here is crystalline Pm3AgO at its relaxed geometry from Alexandria. Energies are from GGA-PBE.

Output
ΔE_f (raw): -1.1835 eV per atom
M_tot: 0.000 μB/atom
uncorrected energy: -0.4113 Ry per atom

Cell: 4.9056 4.9056 4.9056 Å, 90.00 90.00 90.00°
Fractional coordinates of all 5 atoms:
Pm (0.0000, 0.0000, 0.5000)
Pm (0.0000, 0.5000, 0.0000)
Pm (0.5000, 0.0000, 0.0000)
Ag (0.5000, 0.5000, 0.5000)
O (0.0000, 0.0000, 0.0000)

---

Here is crystalline Pm2Zn2Ag3 at its relaxed geometry from Alexandria. Energies are from GGA-PBE.

Output
E above lowest polymorph: 0 meV per atom
M_tot: 0.000 μB/atom
energy relative to the elements: -0.234 eV/atom
uncorrected energy: -0.2336 Ry per atom

Cell: 10.1106 10.1106 7.4881 Å, 90.00 90.00 155.84°
Fractional coordinates of all 14 atoms:
Pm (0.0587, 0.9413, 0.7500)
Pm (0.1600, 0.8400, 0.2500)
Pm (0.8400, 0.1600, 0.7500)
Pm (0.9413, 0.0587, 0.2500)
Zn (0.3096, 0.6904, 0.0572)
Zn (0.3096, 0.6904, 0.4428)
Zn (0.6904, 0.3096, 0.5572)
Zn (0.6904, 0.3096, 0.9428)
Ag (0.2244, 0.7756, 0.7500)
Ag (0.4364, 0.5636, 0.5652)
Ag (0.4364, 0.5636, 0.9348)
Ag (0.5636, 0.4364, 0.0652)
Ag (0.5636, 0.4364, 0.4348)
Ag (0.7756, 0.2244, 0.2500)

---

Here is crystalline Ac2HgBPd6 at its relaxed geometry from Alexandria. Energies are from GGA-PBE.

Output
M_tot: 0.000 μB/atom
energy relative to the elements: -0.642 eV/atom
uncorrected energy: -0.3879 Ry per atom

Cell: 5.9162 5.9162 7.6454 Å, 112.71 112.71 60.02°
Fractional coordinates of all 10 atoms:
Ac (0.2336, 0.2336, 0.2000)
Ac (0.7664, 0.7664, 0.8000)
Hg (0.5000, 0.5000, 0.0000)
B (0.0000, 0.0000, 0.5000)
Pd (0.2280, 0.2280, 0.6733)
Pd (0.2278, 0.7158, 0.6724)
Pd (0.2842, 0.7722, 0.3276)
Pd (0.7158, 0.2278, 0.6724)
Pd (0.7722, 0.2842, 0.3276)
Pd (0.7720, 0.7720, 0.3267)

---

Here is crystalline NdSm3Cd at its relaxed geometry from Alexandria. Energies are from GGA-PBE.

Output
E above lowest polymorph: 76 meV per atom
M_tot: 0.000 μB/atom
energy relative to the elements: -0.031 eV/atom
uncorrected energy: -0.2939 Ry per atom

Cell: 10.0962 10.0962 6.4368 Å, 100.28 100.28 84.30°
Fractional coordinates of all 20 atoms:
Nd (0.1022, 0.7032, 0.9959)
Nd (0.2968, 0.8978, 0.5041)
Nd (0.7032, 0.1022, 0.4959)
Nd (0.8978, 0.2968, 0.0041)
Sm (0.0385, 0.1654, 0.4838)
Sm (0.1284, 0.5066, 0.3813)
Sm (0.1654, 0.0385, 0.9838)
Sm (0.2383, 0.3657, 0.8743)
Sm (0.3657, 0.2383, 0.3743)
Sm (0.4934, 0.8716, 0.1187)
Sm (0.5066, 0.1284, 0.8813)
Sm (0.6343, 0.7617, 0.6257)
Sm (0.7617, 0.6343, 0.1257)
Sm (0.8346, 0.9615, 0.0162)
Sm (0.8716, 0.4934, 0.6187)
Sm (0.9615, 0.8346, 0.5162)
Cd (0.3750, 0.6250, 0.7500)
Cd (0.4092, 0.5908, 0.2500)
Cd (0.5908, 0.4092, 0.7500)
Cd (0.6250, 0.3750, 0.2500)

---

Here is crystalline LaI at its relaxed geometry from Alexandria. Energies are from GGA-PBE.

Output
ΔE_f (raw): -1.0671 eV per atom
M_tot: 0.000 μB/atom
uncorrected energy: -0.3165 Ry per atom

Cell: 3.9860 3.9860 9.6250 Å, 90.00 90.00 120.00°
Fractional coordinates of all 4 atoms:
La (0.0000, 0.0000, 0.0000)
La (0.0000, 0.0000, 0.5000)
I (0.3333, 0.6667, 0.2500)
I (0.6667, 0.3333, 0.7500)

---

Here is crystalline Rb2IrAu2 at its relaxed geometry from Alexandria. Energies are from GGA-PBE.

Output
E above lowest polymorph: 322 meV per atom
M_tot: 0.144 μB/atom
energy relative to the elements: 0.585 eV/atom
uncorrected energy: -0.2120 Ry per atom

Cell: 11.0268 11.0268 11.0268 Å, 160.18 160.18 28.17°
Fractional coordinates of all 5 atoms:
Rb (0.1026, 0.1026, 0.0000)
Rb (0.8974, 0.8974, 0.0000)
Ir (0.5000, 0.5000, 0.0000)
Au (0.2500, 0.7500, 0.5000)
Au (0.7500, 0.2500, 0.5000)

---

Here is crystalline Sr2BiAu2 at its relaxed geometry from Alexandria. Energies are from GGA-PBE.

Output
E above lowest polymorph: 209 meV per atom
M_tot: 0.000 μB/atom
energy relative to the elements: -0.581 eV/atom
uncorrected energy: -0.2455 Ry per atom

Cell: 8.9756 8.9756 3.8552 Å, 90.00 90.00 90.00°
Fractional coordinates of all 10 atoms:
Sr (0.1676, 0.3324, 0.0000)
Sr (0.3324, 0.8324, 0.0000)
Sr (0.6676, 0.1676, 0.0000)
Sr (0.8324, 0.6676, 0.0000)
Bi (0.0000, 0.0000, 0.0000)
Bi (0.5000, 0.5000, 0.0000)
Au (0.1195, 0.6195, 0.5000)
Au (0.3805, 0.1195, 0.5000)
Au (0.6195, 0.8805, 0.5000)
Au (0.8805, 0.3805, 0.5000)

---

Here is crystalline Pu4MnRh4 at its relaxed geometry from Alexandria. Energies are from GGA-PBE.

Output
M_tot: 0.697 μB/atom
energy relative to the elements: -0.023 eV/atom
uncorrected energy: -0.7849 Ry per atom

Cell: 6.0655 6.0655 6.0655 Å, 99.13 99.13 133.06°
Fractional coordinates of all 9 atoms:
Pu (0.1482, 0.8430, 0.9912)
Pu (0.1570, 0.1482, 0.3052)
Pu (0.8430, 0.8518, 0.6948)
Pu (0.8518, 0.1570, 0.0088)
Mn (0.5000, 0.5000, 0.0000)
Rh (0.1693, 0.5078, 0.6771)
Rh (0.4922, 0.1693, 0.6615)
Rh (0.5078, 0.8307, 0.3385)
Rh (0.8307, 0.4922, 0.3229)